(1)
Compound: Sr2AsOs
Source: Alexandria
Functional: PBE
Structure: optimized geometry

a b c (Å): 3.366 3.366 8.805
angles (deg): 90.00 90.00 90.00
Fractional positions:
1 Sr 0.000 0.000 0.239
2 Sr 0.000 0.000 0.761
3 As 0.500 0.500 0.500
4 Os 0.500 0.500 0.000

Summary:
calculated formation energy	228	meV per atom

---

(2)
Compound: Sr2AsOs
Source: Alexandria
Functional: PBE
Structure: optimized geometry

a b c (Å): 3.420 3.420 9.150
angles (deg): 90.00 90.00 90.00
Fractional positions:
1 Sr 0.000 0.000 0.000
2 Sr 0.500 0.500 0.401
3 As 0.000 0.000 0.643
4 Os 0.500 0.500 0.753

Summary:
calculated formation energy	87	meV per atom

---

(3)
Compound: SrAs2Os
Source: Alexandria
Functional: PBE
Structure: optimized geometry

a b c (Å): 4.760 4.760 4.760
angles (deg): 60.00 60.00 60.00
Fractional positions:
1 Sr 0.000 0.000 0.000
2 As 0.250 0.250 0.250
3 As 0.750 0.750 0.750
4 Os 0.500 0.500 0.500

Summary:
calculated formation energy	66	meV per atom
offset from the most stable computed form	0.478	eV/atom

---

(4)
Compound: Sr2AsOs
Source: Alexandria
Functional: PBE
Structure: optimized geometry

a b c (Å): 6.171 6.171 6.171
angles (deg): 141.76 131.32 63.53
Fractional positions:
1 Sr 0.000 0.000 0.000
2 Sr 0.710 0.210 0.500
3 As 0.428 0.428 0.000
4 Os 0.309 0.809 0.500

Summary:
calculated formation energy	-80	meV per atom